Rb2BaCl after structural relaxation. Source: the Alexandria database, functional GGA-PBE.

Summary:
Final energy ... -2.07 eV per atom

```
Rb2BaCl
1.0
10.217 0.000 0.000
0.000 10.217 0.000
5.109 5.109 5.506
Ba Rb Cl
2 4 2
Direct
0.000 0.000 0.000
0.750 0.250 0.500
0.492 0.125 0.250
0.258 0.625 0.250
0.375 0.508 0.750
0.875 0.742 0.750
0.500 0.500 0.000
0.250 0.750 0.500
```

Rb2Ba2Cl after structural relaxation. Source: the Alexandria database, functional GGA-PBE.

Summary:
Final energy ... -2.09 eV per atom

```
Rb2Ba2Cl
1.0
8.779 0.000 0.000
0.000 8.779 0.000
0.000 0.000 8.534
Ba Rb Cl
4 4 2
Direct
0.321 0.821 0.000
0.821 0.679 0.000
0.679 0.179 0.000
0.179 0.321 0.000
0.170 0.670 0.500
0.670 0.830 0.500
0.830 0.330 0.500
0.330 0.170 0.500
0.000 0.000 0.000
0.500 0.500 0.000
```

RbBa3Cl after structural relaxation. Source: the Alexandria database, functional GGA-PBE.

Summary:
Final energy ... -1.35 eV per atom

```
RbBa3Cl
1.0
-7.148 0.368 1.166
0.992 -2.303 6.804
0.716 6.866 2.220
Ba Rb Cl
3 1 1
Direct
0.000 0.500 0.000
0.000 0.000 0.500
0.500 0.000 0.000
0.000 0.000 0.000
0.500 0.500 0.500
```

Q: The highest final energy belongs to which entry?
A: RbBa3Cl